[1]
TcNiSe2: relaxed, PBE.

Summary:
- energy relative to the lowest polymorph listed for this composition (meV/atom) = 998
- calculated volume (Å³/f.u.) = 63.6
- DOS at the Fermi energy (states/eV per atom) = 0.9870
- energy relative to the elements, uncorrected (eV per atom) = 0.721
- space-group type = No. 216

a b c (Å): 4.481 4.481 4.481
angles (deg): 60.00 60.00 60.00
Site moments in Bohr magnetons follow the coordinates.
Element x y z (fractional)
1 Ni 0.500 0.500 0.500  0.30
2 Se 0.000 0.000 0.000  -0.05
3 Se 0.250 0.250 0.250  -0.01
4 Tc 0.750 0.750 0.750  1.23



[2]
CsCa2YRh: relaxed, PBE.

Summary:
- energy of formation from the pure elements (meV per atom) = -87
- calculated volume (Å³/f.u.) = 188.7
- DOS at the Fermi energy (states/eV per atom) = 0.9483
- space-group type = No. 123

a b c (Å): 5.909 5.909 5.405
angles (deg): 90.00 90.00 90.00
Element x y z (fractional)
1 Cs 0.500 0.500 0.500
2 Y 0.000 0.000 0.500
3 Ca 0.000 0.500 0.000
4 Ca 0.500 0.000 0.000
5 Rh 0.000 0.000 0.000



[3]
TbPrCuPb: relaxed, PBE.

Summary:
- energy of formation from the pure elements (meV per atom) = -296
- calculated volume (Å³/f.u.) = 106.4
- DOS at the Fermi energy (states/eV per atom) = 1.1479
- space-group type = No. 216

a b c (Å): 5.320 5.320 5.320
angles (deg): 60.00 60.00 60.00
Site moments in Bohr magnetons follow the coordinates.
Element x y z (fractional)
1 Pb 0.250 0.250 0.250  -0.01
2 Pr 0.000 0.000 0.000  0.06
3 Tb 0.500 0.500 0.500  0.07
4 Cu 0.750 0.750 0.750  0.01



[4]
KTcNi: relaxed, PBE.

Summary:
- energy of formation from the pure elements (meV per atom) = 814
- energy relative to the lowest polymorph listed for this composition (meV/atom) = 389
- calculated volume (Å³/f.u.) = 71.6
- DOS at the Fermi energy (states/eV per atom) = 0.5343
- space-group type = No. 62

a b c (Å): 8.726 3.174 10.336
angles (deg): 90.00 90.00 90.00
Element x y z (fractional)
1 Ni 0.223 0.250 0.405
2 Ni 0.277 0.750 0.905
3 Ni 0.777 0.750 0.595
4 Ni 0.723 0.250 0.095
5 K 0.941 0.250 0.830
6 K 0.559 0.750 0.330
7 K 0.059 0.750 0.170
8 K 0.441 0.250 0.670
9 Tc 0.910 0.250 0.464
10 Tc 0.590 0.750 0.964
11 Tc 0.090 0.750 0.536
12 Tc 0.410 0.250 0.036



[5]
MgAl2Rh: relaxed, PBE.

Summary:
- energy of formation from the pure elements (meV per atom) = -421
- calculated volume (Å³/f.u.) = 64.9
- DOS at the Fermi energy (states/eV per atom) = 0.3644
- space-group type = No. 6

a b c (Å): 4.219 3.048 5.249
angles (deg): 73.98 90.00 90.00
Element x y z (fractional)
1 Al 0.000 0.812 0.001
2 Al 0.500 0.213 0.208
3 Mg 0.000 0.538 0.537
4 Rh 0.500 0.938 0.753



[6]
AlIn2O: relaxed, PBE.

Summary:
- energy relative to the lowest polymorph listed for this composition (meV/atom) = 180
- calculated volume (Å³/f.u.) = 83.8
- DOS at the Fermi energy (states/eV per atom) = 0.3286
- energy relative to the elements, uncorrected (eV per atom) = -0.796
- space-group type = No. 2

a b c (Å): 4.740 5.398 7.179
angles (deg): 78.86 72.15 74.90
Element x y z (fractional)
1 Al 0.287 0.533 0.404
2 Al 0.713 0.467 0.596
3 In 0.813 0.972 0.265
4 In 0.187 0.028 0.735
5 In 0.703 0.692 0.948
6 In 0.297 0.308 0.052
7 O 0.448 0.742 0.498
8 O 0.552 0.258 0.502



[7]
TiZnCu6: relaxed, PBE.

Summary:
- energy of formation from the pure elements (meV per atom) = -8
- energy relative to the lowest polymorph listed for this composition (meV/atom) = 62
- calculated volume (Å³/f.u.) = 102.9
- DOS at the Fermi energy (states/eV per atom) = 0.7230
- space-group type = No. 123

a b c (Å): 3.724 3.724 7.415
angles (deg): 90.00 90.00 90.00
Element x y z (fractional)
1 Ti 0.000 0.000 0.000
2 Zn 0.000 0.000 0.500
3 Cu 0.500 0.500 0.000
4 Cu 0.500 0.500 0.500
5 Cu 0.500 0.000 0.252
6 Cu 0.500 0.000 0.748
7 Cu 0.000 0.500 0.252
8 Cu 0.000 0.500 0.748



[8]
Zn2CuSb: relaxed, PBE.

Summary:
- calculated volume (Å³/f.u.) = 74.4
- DOS at the Fermi energy (states/eV per atom) = 0.4139
- energy relative to the elements, uncorrected (eV per atom) = 0.206
- space-group type = No. 166

a b c (Å): 8.202 8.202 8.202
angles (deg): 23.07 23.07 23.07
Element x y z (fractional)
1 Cu 0.250 0.250 0.250
2 Sb 0.750 0.750 0.750
3 Zn 0.988 0.988 0.988
4 Zn 0.512 0.512 0.512



[9]
VIn: relaxed, PBE.

Summary:
- energy of formation from the pure elements (meV per atom) = 457
- calculated volume (Å³/f.u.) = 41.6
- DOS at the Fermi energy (states/eV per atom) = 1.1571
- space-group type = No. 71

a b c (Å): 4.031 4.881 12.685
angles (deg): 90.00 90.00 90.00
Element x y z (fractional)
1 V 0.000 0.000 0.600
2 V 0.000 0.000 0.400
3 V 0.500 0.500 0.100
4 V 0.500 0.500 0.900
5 V 0.500 0.000 0.500
6 V 0.000 0.500 0.000
7 In 0.500 0.000 0.242
8 In 0.500 0.000 0.758
9 In 0.000 0.500 0.742
10 In 0.000 0.500 0.258
11 In 0.000 0.500 0.500
12 In 0.500 0.000 0.000



[10]
Pm2Nd3Pb3: relaxed, PBE.

Summary:
- energy of formation from the pure elements (meV per atom) = -410
- calculated volume (Å³/f.u.) = 249.5
- DOS at the Fermi energy (states/eV per atom) = 1.2014
- space-group type = No. 71

a b c (Å): 4.537 5.025 11.455
angles (deg): 102.67 101.42 90.00
Element x y z (fractional)
1 Pm 0.744 0.244 0.487
2 Pm 0.256 0.756 0.513
3 Nd 0.620 0.620 0.240
4 Nd 0.380 0.380 0.760
5 Nd 0.500 0.000 0.000
6 Pb 0.131 0.131 0.263
7 Pb 0.000 0.500 0.000
8 Pb 0.869 0.869 0.737



[11]
ThNpRu4: relaxed, PBE.

Summary:
- energy of formation from the pure elements (meV per atom) = -153
- calculated volume (Å³/f.u.) = 108.9
- DOS at the Fermi energy (states/eV per atom) = 1.7722
- space-group type = No. 216

a b c (Å): 5.361 5.361 5.361
angles (deg): 60.00 60.00 60.00
Site moments in Bohr magnetons follow the coordinates.
Element x y z (fractional)
1 Np 0.250 0.250 0.250  3.52
2 Ru 0.624 0.624 0.127  -0.32
3 Ru 0.624 0.127 0.624  -0.32
4 Ru 0.624 0.624 0.624  -0.32
5 Ru 0.127 0.624 0.624  -0.32
6 Th 0.000 0.000 0.000  0.13



[12]
Zr2Sc2Fe: relaxed, PBE.

Summary:
- energy of formation from the pure elements (meV per atom) = 98
- energy relative to the lowest polymorph listed for this composition (meV/atom) = 107
- calculated volume (Å³/f.u.) = 106.9
- DOS at the Fermi energy (states/eV per atom) = 0.6879
- space-group type = No. 127

a b c (Å): 6.469 6.469 5.111
angles (deg): 90.00 90.00 90.00
Element x y z (fractional)
1 Sc 0.167 0.667 0.500
2 Sc 0.667 0.833 0.500
3 Sc 0.833 0.333 0.500
4 Sc 0.333 0.167 0.500
5 Fe 0.000 0.000 0.000
6 Fe 0.500 0.500 0.000
7 Zr 0.345 0.845 0.000
8 Zr 0.845 0.655 0.000
9 Zr 0.655 0.155 0.000
10 Zr 0.155 0.345 0.000